GGA-PBE MgTa, optimized geometry; uncorrected energy = -6.372 eV per atom; energy of formation from the pure elements = 0.3517 eV/atom; space-group type = No. 194; total moment = 0.00 μB per atom
1.0
2.923 0.000 0.000
-1.461 2.531 0.000
0.000 0.000 10.379
Mg Ta
2 2
direct
0.000 0.000 0.500 Mg
0.000 0.000 0.000 Mg
0.667 0.333 0.750 Ta
0.333 0.667 0.250 Ta